A plane-wave DFT calculation with PBE with a Hubbard U was carried out for an optimized crystal structure of FeN2F.

- Uncorrected energy: -5.175 eV/atom
- Energy above the lowest structure with this stoichiometry: 0.000 eV per formula unit
- Density of states at the Fermi level: 0.9 states/eV/f.u.
- V: 44.74 Å³/f.u.
- Magnetic moment: 3.04 μB/cell
- Space group: R-3m (166)

Cell: 5.6699 5.6699 5.6699 Å, 31.72 31.72 31.72°
Each line ends with the local moment (μB).
Sites, in units of the cell vectors:
N 0.8900 0.8900 0.8900  -0.26
F 0.0000 0.0000 0.0000  0.01
Fe 0.5000 0.5000 0.5000  3.69
N 0.1100 0.1100 0.1100  -0.26